! BaHg6Pb6 GGA-PBE optimized geometry; values from VASP
&SYSTEM
  ibrav = 0, nat = 13, ntyp = 3
/
ATOMIC_SPECIES
Pb 207.20 Pb.upf
Hg 200.59 Hg.upf
Ba 137.33 Ba.upf
ATOMIC_POSITIONS crystal
Pb 0.500 0.744 0.256
Pb 0.000 0.000 0.500
Pb 0.500 0.500 0.000
Pb 0.000 0.500 0.000
Pb 0.500 0.256 0.744
Pb 0.500 0.000 0.500
Hg 0.664 0.836 0.836
Hg 0.336 0.164 0.164
Hg 0.333 0.667 0.667
Hg 0.667 0.333 0.333
Hg 0.000 0.642 0.358
Hg 0.000 0.358 0.642
Ba 0.000 0.000 0.000
CELL_PARAMETERS angstrom
6.798 0.000 0.000
3.399 7.774 0.389
3.399 0.575 7.762
! - DFT total energy: -27.0 eV/f.u.
! - Space-group type: No. 71
! - Calculated formation energy: -78.4 meV/atom